1.
Compound: Pr4Sm5Tl
Source: Alexandria via LeMat-Bulk
Functional: PBE
Structure: relaxed

Cell lengths 6.018, 8.251, 8.251 Å; angles 82.36, 68.61, 68.61 degrees
Atoms (fractional coordinates):
Sm  0.138  0.629  0.000
Pr  0.465  0.312  0.688
Sm  0.660  0.000  0.000
Pr  0.153  0.312  0.312
Sm  0.768  0.000  0.371
Pr  0.465  0.688  0.312
Sm  0.138  0.000  0.629
Pr  0.777  0.688  0.688
Sm  0.768  0.371  0.000
Tl  0.180  0.000  0.000

Results
* calculated total energy: -44.2 eV per cell
* M_tot: 0.000 Bohr magnetons per cell
* ΔH_f (0 K): 0.09 eV per atom
* SG: I4mm



2.
Compound: PrSm7Tl2
Source: Alexandria via LeMat-Bulk
Functional: PBE
Structure: relaxed

Cell lengths 5.482, 9.165, 9.165 Å; angles 118.85, 90.00, 90.00 degrees
Atoms (fractional coordinates):
Sm  0.500  0.303  0.061
Sm  0.500  0.697  0.939
Pr  0.000  0.000  0.000
Tl  0.500  0.306  0.694
Sm  0.500  0.939  0.697
Tl  0.500  0.694  0.306
Sm  0.500  0.061  0.303
Sm  0.500  0.500  0.500
Sm  0.000  0.772  0.228
Sm  0.000  0.228  0.772

Results
* calculated total energy: -39.2 eV per cell
* M_tot: 0.001 Bohr magnetons per cell
* ΔH_f (0 K): 0.34 eV per atom
* SG: Cmmm



3.
Compound: PrSm4Tl
Source: Alexandria via LeMat-Bulk
Functional: PBE
Structure: relaxed

Cell lengths 6.604, 9.174, 8.444 Å; angles 112.78, 100.04, 113.52 degrees
Atoms (fractional coordinates):
Sm  0.759  0.715  0.621
Sm  0.784  0.406  0.245
Tl  0.250  0.000  0.001
Sm  0.961  0.839  0.245
Sm  0.216  0.594  0.755
Sm  0.241  0.285  0.379
Sm  0.039  0.161  0.755
Sm  0.363  0.906  0.621
Pr  0.339  0.589  0.177
Pr  0.661  0.411  0.823
Tl  0.750  0.000  0.999
Sm  0.637  0.094  0.379

Results
* calculated total energy: -52.4 eV per cell
* M_tot: 0.000 Bohr magnetons per cell
* ΔH_f (0 K): -0.03 eV per atom
* SG: C2/c



4.
Compound: Pr2SmTl
Source: Alexandria via LeMat-Bulk
Functional: PBE
Structure: relaxed

Cell lengths 5.044, 4.982, 4.982 Å; angles 90.00, 90.00, 90.00 degrees
Atoms (fractional coordinates):
Sm  0.500  0.500  0.500
Pr  0.000  0.500  0.000
Pr  0.000  0.000  0.500
Tl  0.500  0.000  0.000

Results
* calculated total energy: -17.5 eV per cell
* M_tot: 0.007 Bohr magnetons per cell
* ΔH_f (0 K): -0.20 eV per atom
* SG: P4/mmm



5.
Compound: Pr2Sm12Tl5
Source: Alexandria via LeMat-Bulk
Functional: PBE
Structure: relaxed

Cell lengths 9.981, 8.632, 8.793 Å; angles 84.94, 90.00, 125.32 degrees
Atoms (fractional coordinates):
Sm  0.968  0.305  0.204
Sm  0.337  0.305  0.204
Sm  0.174  0.764  0.371
Sm  0.908  0.816  0.146
Sm  0.092  0.184  0.854
Sm  0.663  0.695  0.796
Sm  0.589  0.764  0.371
Tl  0.220  0.440  0.506
Sm  0.588  0.176  0.326
Pr  0.334  0.000  0.000
Pr  0.666  0.000  0.000
Tl  0.780  0.560  0.494
Tl  0.701  0.402  0.995
Tl  0.299  0.598  0.005
Sm  0.412  0.824  0.674
Sm  0.826  0.236  0.629
Sm  0.032  0.695  0.796
Tl  0.000  0.000  0.500
Sm  0.411  0.236  0.629

Results
* calculated total energy: -79.4 eV per cell
* M_tot: 0.001 Bohr magnetons per cell
* ΔH_f (0 K): -0.08 eV per atom
* SG: C2/m



6.
Compound: Pr6Sm2Tl
Source: Alexandria via LeMat-Bulk
Functional: PBE
Structure: relaxed

Cell lengths 3.497, 9.982, 12.223 Å; angles 114.10, 124.70, 90.00 degrees
Atoms (fractional coordinates):
Pr  0.839  0.671  0.673
Tl  0.000  0.000  0.000
Sm  0.334  0.334  0.667
Pr  0.839  0.001  0.673
Pr  0.500  0.323  0.000
Pr  0.161  0.329  0.327
Sm  0.666  0.666  0.333
Pr  0.161  0.999  0.327
Pr  0.500  0.677  0.000

Results
* calculated total energy: -40.3 eV per cell
* M_tot: 0.000 Bohr magnetons per cell
* ΔH_f (0 K): 0.02 eV per atom
* SG: C2/m



> Among the records above, which one has the highest M_tot?

Pr2SmTl